i:
Entry from the Alexandria database: a geometry-optimized TeW2O8 structure (PBE+U).

Unit cell a=13.355 b=5.458 c=5.557 alpha=90.00 beta=90.63 gamma=90.00
Space group C2/m (No. 12)
Inequivalent atoms, fractional coordinates:
Te  0.000  0.000  0.000 (multiplicity 2)
W  0.152  0.000  0.419 (multiplicity 4)
O  0.091  0.241  0.236 (multiplicity 8)
O  0.113  0.000  0.738 (multiplicity 4)
O  0.216  0.500  0.610 (multiplicity 4)

ii:
Entry from the Alexandria database: a geometry-optimized TeW2O8 structure (PBE+U).

Unit cell a=5.150 b=5.957 c=6.112 alpha=106.20 beta=90.38 gamma=115.46
Space group P1 (No. 1)
Inequivalent atoms, fractional coordinates:
Te  0.000  0.000  0.000 (multiplicity 1)
W  0.204  0.440  0.649 (multiplicity 1)
W  0.753  0.462  0.327 (multiplicity 1)
O  0.146  0.649  0.443 (multiplicity 1)
O  0.215  0.687  0.897 (multiplicity 1)
O  0.225  0.203  0.795 (multiplicity 1)
O  0.288  0.217  0.276 (multiplicity 1)
O  0.614  0.600  0.611 (multiplicity 1)
O  0.738  0.684  0.187 (multiplicity 1)
O  0.774  0.203  0.064 (multiplicity 1)
O  0.813  0.237  0.521 (multiplicity 1)

Which of them is the most stable? Correct choice: ii.